[1]
Here is a relaxed structure of ZrInAgSe3 from the Open Quantum Materials Database. Energies are from PBE.

Lattice parameters (Å, degrees): 12.6440 3.8977 12.1720 90.00 90.00 90.00
Fractional positions:
1 Zr 0.0304 0.2500 0.1640
2 Zr 0.4696 0.7500 0.6640
3 Zr 0.5304 0.2500 0.3360
4 Zr 0.9696 0.7500 0.8360
5 In 0.1782 0.2500 0.5315
6 In 0.3218 0.7500 0.0315
7 In 0.6782 0.2500 0.9685
8 In 0.8218 0.7500 0.4685
9 Ag 0.2137 0.7500 0.3533
10 Ag 0.2863 0.2500 0.8533
11 Ag 0.7137 0.7500 0.1467
12 Ag 0.7863 0.2500 0.6467
13 Se 0.0036 0.7500 0.3196
14 Se 0.0881 0.2500 0.9393
15 Se 0.2352 0.2500 0.1855
16 Se 0.2648 0.7500 0.6855
17 Se 0.4119 0.7500 0.4393
18 Se 0.4964 0.2500 0.8196
19 Se 0.5036 0.7500 0.1804
20 Se 0.5881 0.2500 0.5607
21 Se 0.7352 0.2500 0.3145
22 Se 0.7648 0.7500 0.8145
23 Se 0.9119 0.7500 0.0607
24 Se 0.9964 0.2500 0.6804

Values from the calculation:
- symmetry = Pnma (62)
- distance to the lowest polymorph of the same formula (kJ per mole of atoms) = 2.0


[2]
Here is a relaxed structure of GaBiW from the Open Quantum Materials Database. Energies are from PBE.

Lattice parameters (Å, degrees): 6.5582 6.5582 6.5582 90.00 90.00 90.00
Fractional positions:
1 Ga 0.0000 0.0000 0.0000
2 Ga 0.0000 0.5000 0.5000
3 Ga 0.5000 0.0000 0.5000
4 Ga 0.5000 0.5000 0.0000
5 Bi 0.0000 0.0000 0.5000
6 Bi 0.0000 0.5000 0.0000
7 Bi 0.5000 0.0000 0.0000
8 Bi 0.5000 0.5000 0.5000
9 W 0.2500 0.2500 0.7500
10 W 0.2500 0.7500 0.2500
11 W 0.7500 0.2500 0.2500
12 W 0.7500 0.7500 0.7500

Values from the calculation:
- symmetry = F-43m (216)
- distance to the lowest polymorph of the same formula (kJ per mole of atoms) = 0.0


[3]
Here is a relaxed structure of NdInTe3Pb from the Open Quantum Materials Database. Energies are from PBE.

Lattice parameters (Å, degrees): 7.9504 7.9504 11.0993 90.00 90.00 146.88
Fractional positions:
1 Nd 0.0000 0.0000 0.0000
2 Nd 0.0000 0.0000 0.5000
3 In 0.4776 0.5224 0.7500
4 In 0.5224 0.4776 0.2500
5 Te 0.1155 0.8845 0.7500
6 Te 0.3509 0.6491 0.5392
7 Te 0.3509 0.6491 0.9608
8 Te 0.6491 0.3509 0.0392
9 Te 0.6491 0.3509 0.4608
10 Te 0.8845 0.1155 0.2500
11 Pb 0.2227 0.7773 0.2500
12 Pb 0.7773 0.2227 0.7500

Values from the calculation:
- symmetry = Cmcm (63)


[4]
Here is a relaxed structure of IrBr from the Open Quantum Materials Database. Energies are from PBE.

Lattice parameters (Å, degrees): 5.3002 5.3002 5.3002 90.00 90.00 90.00
Fractional positions:
1 Ir 0.0000 0.0000 0.0000
2 Ir 0.0000 0.5000 0.5000
3 Ir 0.5000 0.0000 0.5000
4 Ir 0.5000 0.5000 0.0000
5 Br 0.0000 0.0000 0.5000
6 Br 0.0000 0.5000 0.0000
7 Br 0.5000 0.0000 0.0000
8 Br 0.5000 0.5000 0.5000

Values from the calculation:
- symmetry = Fm-3m (225)
- distance to the lowest polymorph of the same formula (kJ per mole of atoms) = 4.9


[5]
Here is a relaxed structure of LuFeCu from the Open Quantum Materials Database. Energies are from PBE.

Lattice parameters (Å, degrees): 6.2257 6.2257 6.2257 90.00 90.00 90.00
Fractional positions:
1 Lu 0.0000 0.0000 0.0000
2 Lu 0.0000 0.5000 0.5000
3 Lu 0.5000 0.0000 0.5000
4 Lu 0.5000 0.5000 0.0000
5 Fe 0.2500 0.2500 0.2500
6 Fe 0.2500 0.7500 0.7500
7 Fe 0.7500 0.2500 0.7500
8 Fe 0.7500 0.7500 0.2500
9 Cu 0.2500 0.2500 0.7500
10 Cu 0.2500 0.7500 0.2500
11 Cu 0.7500 0.2500 0.2500
12 Cu 0.7500 0.7500 0.7500

Values from the calculation:
- symmetry = F-43m (216)
- formation energy from the elements (eV/atom) = 0.85


[6]
Here is a relaxed structure of GdDyB from the Open Quantum Materials Database. Energies are from PBE.

Lattice parameters (Å, degrees): 6.4276 6.4276 6.4276 90.00 90.00 90.00
Fractional positions:
1 Gd 0.0000 0.0000 0.0000
2 Gd 0.0000 0.5000 0.5000
3 Gd 0.5000 0.0000 0.5000
4 Gd 0.5000 0.5000 0.0000
5 Dy 0.0000 0.0000 0.5000
6 Dy 0.0000 0.5000 0.0000
7 Dy 0.5000 0.0000 0.0000
8 Dy 0.5000 0.5000 0.5000
9 B 0.2500 0.2500 0.7500
10 B 0.2500 0.7500 0.2500
11 B 0.7500 0.2500 0.2500
12 B 0.7500 0.7500 0.7500

Values from the calculation:
- symmetry = F-43m (216)


[7]
Here is a relaxed structure of DyBiN2O from the Open Quantum Materials Database. Energies are from PBE.

Lattice parameters (Å, degrees): 6.1516 6.1516 6.0293 118.21 118.21 92.11
Fractional positions:
1 Dy 0.1581 0.1581 0.4179
2 Dy 0.8419 0.8419 0.5821
3 Bi 0.0000 0.5000 0.0000
4 Bi 0.5000 0.0000 0.0000
5 N 0.1669 0.8331 0.5000
6 N 0.4850 0.4850 0.0887
7 N 0.5150 0.5150 0.9113
8 N 0.8331 0.1669 0.5000
9 O 0.1473 0.8527 0.0000
10 O 0.8527 0.1473 0.0000

Values from the calculation:
- symmetry = C2/m (12)


[8]
Here is a relaxed structure of Ba2SmZn4Si4 from the Open Quantum Materials Database. Energies are from PBE.

Lattice parameters (Å, degrees): 13.1293 13.1293 13.1293 161.14 160.61 27.18
Fractional positions:
1 Ba 0.1467 0.1467 0.0000
2 Ba 0.8533 0.8533 0.0000
3 Sm 0.0000 0.5000 0.5000
4 Zn 0.2501 0.7501 0.5000
5 Zn 0.4074 0.4074 0.0000
6 Zn 0.5926 0.5926 0.0000
7 Zn 0.7499 0.2499 0.5000
8 Si 0.3054 0.3054 0.0000
9 Si 0.4546 0.9546 0.5000
10 Si 0.5454 0.0454 0.5000
11 Si 0.6946 0.6946 0.0000

Values from the calculation:
- symmetry = Immm (71)


[9]
Here is a relaxed structure of Na2NiH6Ir from the Open Quantum Materials Database. Energies are from PBE.

Lattice parameters (Å, degrees): 4.9043 4.9043 4.9043 60.00 60.00 60.00
Fractional positions:
1 Na 0.2500 0.2500 0.2500
2 Na 0.7500 0.7500 0.7500
3 Ni 0.0000 0.0000 0.0000
4 H 0.2487 0.2487 0.7513
5 H 0.2487 0.7513 0.2487
6 H 0.2487 0.7513 0.7513
7 H 0.7513 0.2487 0.2487
8 H 0.7513 0.2487 0.7513
9 H 0.7513 0.7513 0.2487
10 Ir 0.5000 0.5000 0.5000

Values from the calculation:
- symmetry = Fm-3m (225)


[10]
Here is a relaxed structure of BaFeAgS3 from the Open Quantum Materials Database. Energies are from PBE.

Lattice parameters (Å, degrees): 7.6993 4.0257 9.0505 90.00 110.09 90.00
Fractional positions:
1 Ba 0.2349 0.2500 0.2548
2 Ba 0.7651 0.7500 0.7452
3 Fe 0.3202 0.7500 0.8484
4 Fe 0.6798 0.2500 0.1516
5 Ag 0.1038 0.2500 0.6036
6 Ag 0.8962 0.7500 0.3964
7 S 0.1092 0.2500 0.8770
8 S 0.2881 0.7500 0.5674
9 S 0.4621 0.7500 0.1235
10 S 0.5379 0.2500 0.8765
11 S 0.7119 0.2500 0.4326
12 S 0.8908 0.7500 0.1230

Values from the calculation:
- symmetry = P2_1/m (11)
- distance to the lowest polymorph of the same formula (kJ per mole of atoms) = 0.8


Number 1: total moment 0.007 μB/f.u., VASP energy -28.88 eV per formula unit. Number 2: total moment 1.098 μB/f.u., VASP energy -17.16 eV per formula unit. Number 3: total moment 0.017 μB/f.u., VASP energy -24.28 eV per formula unit. Number 4: total moment 0.008 μB/f.u., VASP energy -7.93 eV per formula unit. Number 5: total moment 2.176 μB/f.u., VASP energy -14.01 eV per formula unit. Number 6: total moment 0.005 μB/f.u., VASP energy -15.66 eV per formula unit. Number 7: total moment 0.017 μB/f.u., VASP energy -33.93 eV per formula unit. Number 8: total moment 0.039 μB/f.u., VASP energy -39.55 eV per formula unit. Number 9: total moment 0.001 μB/f.u., VASP energy -39.31 eV per formula unit. Number 10: total moment 4.004 μB/f.u., VASP energy -29.54 eV per formula unit.